[1]
An optimized crystal structure of MgSn, computed with PBE.

It has space group Amm2 (No. 38), with a = 5.264 Å, b = 3.255 Å, c = 17.442 Å, α = 90.00°, β = 90.00° and γ = 90.00°. The inequivalent atoms are Mg at (0.000, 0.000, 0.000), Mg at (0.000, 0.000, 0.338), Mg at (0.500, 0.000, 0.893), Sn at (0.000, 0.000, 0.661), Sn at (0.500, 0.000, 0.241) and Sn at (0.500, 0.000, 0.545).

Its density of states at the Fermi level is 0.3929 states/eV per atom. For the formation energy, the calculation gives -4.5 kJ/mol of atoms.

=====

[2]
An optimized crystal structure of MgSn, computed with PBE.

It has space group P6_3/m (No. 176), with a = 8.4660 Å, b = 8.4660 Å, c = 5.1437 Å, α = 90.00°, β = 90.00° and γ = 120.00°. The inequivalent atoms are Mg at (0.0441, 0.2382, 0.2500) and Sn at (0.0949, 0.4720, 0.7500).

Its density of states at the Fermi level is 0.6413 states/eV per atom. For the formation energy, the calculation gives -0.2 kJ/mol of atoms.